[1]
# GGA-PBE HfSc2SiBr, optimized geometry
data_HfSc2SiBr
_cell_length_a 5.074
_cell_length_b 5.074
_cell_length_c 5.020
_cell_angle_alpha 90.00
_cell_angle_beta 90.00
_cell_angle_gamma 90.00
_symmetry_space_group_name_H-M 'P 4/m m m'
_symmetry_Int_Tables_number 123
_symmetry_space_group_name_Hall '-P 4 2'
loop_
_atom_site_label
_atom_site_fract_x
_atom_site_fract_y
_atom_site_fract_z
Hf1 0.000 0.000 0.000
Sc1 0.000 0.500 0.500
Si1 0.000 0.000 0.500
Br1 0.500 0.500 0.000
# * theoretical density: 4.8 g/cm³
# * uncorrected formation energy: 0.15 eV per atom
# * distance to the lowest polymorph of the same formula: 0.000 eV per atom
# * spin magnetization: 0.0 μB/f.u.

---

[2]
# GGA-PBE HfSc2SiBr, optimized geometry
data_HfSc2SiBr
_cell_length_a 5.447
_cell_length_b 5.447
_cell_length_c 4.877
_cell_angle_alpha 90.00
_cell_angle_beta 90.00
_cell_angle_gamma 90.00
_symmetry_space_group_name_H-M 'P 4/m m m'
_symmetry_Int_Tables_number 123
_symmetry_space_group_name_Hall '-P 4 2'
loop_
_atom_site_label
_atom_site_fract_x
_atom_site_fract_y
_atom_site_fract_z
Hf1 0.000 0.000 0.000
Sc1 0.000 0.500 0.000
Si1 0.500 0.500 0.500
Br1 0.000 0.000 0.500
# * theoretical density: 4.3 g/cm³
# * uncorrected formation energy: 0.85 eV per atom
# * distance to the lowest polymorph of the same formula: 0.702 eV per atom
# * spin magnetization: 0.0 μB/f.u.